[1]
Computed, not measured: a relaxed YGePd2 crystal at the PBE level of DFT.

```
YGePd2
1.0
-0.4264 2.3995 -3.3897
-1.5713 -2.6611 -1.6861
-4.8929 1.7261 1.8373
Y Ge Pd
1 1 2
Direct
0.5000 0.5000 0.0000
0.5000 0.0000 0.5000
0.0000 0.0001 0.2472
0.0000 0.9999 0.7528
```

Results
- SG = Pmmm (47)



[2]
Computed, not measured: a relaxed InGaHg4 crystal at the PBE level of DFT.

```
InGaHg4
1.0
-2.2463 -5.5017 1.4345
3.0238 -5.0564 -1.6315
2.7621 -3.4156 4.2517
Hg Ga In
4 1 1
Direct
0.6252 0.6252 0.1244
0.6252 0.1244 0.6252
0.6252 0.6252 0.6252
0.1244 0.6252 0.6252
0.0000 0.0000 0.0000
0.2500 0.2500 0.2500
```

Results
- energy relative to the lowest polymorph listed for this composition (eV/atom) = 0.111
- SG = F-43m (216)



Number 1: formation energy from the elements -677 meV/atom. Number 2: formation energy from the elements 154 meV/atom.